# 1
Compound: BaLiPaTe4
Source: Alexandria
Functional: PBE
Structure: optimized geometry

Output
- size of the total moment (μB/f.u.) = 1.22
- formation energy (no corrections) (meV/atom) = -1051
- final energy (eV per atom) = -4.75

The structure in CIF format:
```
data_BaLiPaTe4
_chemical_formula_sum 'Ba2 Li2 Pa2 Te8'
_cell_length_a 7.752
_cell_length_b 6.380
_cell_length_c 9.736
_cell_angle_alpha 90.00
_cell_angle_beta 108.30
_cell_angle_gamma 90.00
_space_group_name_H-M_alt 'P 1 21/m 1'
_space_group_IT_number 11
loop_
_space_group_symop_operation_xyz
'x,y,z'
'-x,-y,-z'
'-x,y+1/2,-z'
'x,-y+1/2,z'
loop_
_atom_site_label
_atom_site_type_symbol
_atom_site_fract_x
_atom_site_fract_y
_atom_site_fract_z
Ba1 Ba 0.248 0.250 0.439
Li1 Li 0.237 0.750 0.184
Pa1 Pa 0.235 0.250 0.940
Te1 Te 0.053 0.750 0.366
Te2 Te 0.067 0.750 0.905
Te3 Te 0.478 0.507 0.784
```


# 2
Compound: BaLi3Pa4Te12
Source: Alexandria
Functional: PBE
Structure: optimized geometry

Output
- size of the total moment (μB/f.u.) = 1.33
- formation energy (no corrections) (meV/atom) = -882
- final energy (eV per atom) = -5.05

The structure in CIF format:
```
data_BaLi3Pa4Te12
_chemical_formula_sum 'Ba2 Li6 Pa8 Te24'
_cell_length_a 11.242
_cell_length_b 11.242
_cell_length_c 11.242
_cell_angle_alpha 90.00
_cell_angle_beta 90.00
_cell_angle_gamma 90.00
_space_group_name_H-M_alt 'I m -3'
_space_group_IT_number 204
_space_group_name_Hall '-I 2 2 3'
loop_
_atom_site_label
_atom_site_type_symbol
_atom_site_fract_x
_atom_site_fract_y
_atom_site_fract_z
Ba1 Ba 0.000 0.000 0.000
Li1 Li 0.000 0.000 0.500
Pa1 Pa 0.250 0.250 0.250
Te1 Te 0.000 0.304 0.172
```


# 3
Compound: BaLiPaTe3
Source: Alexandria
Functional: PBE
Structure: optimized geometry

Output
- size of the total moment (μB/f.u.) = 1.88
- formation energy (no corrections) (meV/atom) = -1145
- final energy (eV per atom) = -4.94

The structure in CIF format:
```
data_BaLiPaTe3
_chemical_formula_sum 'Ba2 Li2 Pa2 Te6'
_cell_length_a 9.523
_cell_length_b 4.477
_cell_length_c 10.026
_cell_angle_alpha 90.00
_cell_angle_beta 107.57
_cell_angle_gamma 90.00
_space_group_name_H-M_alt 'P 1 21/m 1'
_space_group_IT_number 11
loop_
_space_group_symop_operation_xyz
'x,y,z'
'-x,-y,-z'
'-x,y+1/2,-z'
'x,-y+1/2,z'
loop_
_atom_site_label
_atom_site_type_symbol
_atom_site_fract_x
_atom_site_fract_y
_atom_site_fract_z
Ba1 Ba 0.187 0.250 0.248
Li1 Li 0.086 0.250 0.595
Pa1 Pa 0.349 0.750 0.863
Te1 Te 0.118 0.250 0.876
Te2 Te 0.220 0.750 0.533
Te3 Te 0.444 0.750 0.188
```


# 4
Compound: BaLi2PaTe4
Source: Alexandria
Functional: PBE
Structure: optimized geometry

Output
- size of the total moment (μB/f.u.) = 1.00
- formation energy (no corrections) (meV/atom) = -1004
- final energy (eV per atom) = -4.48

The structure in CIF format:
```
data_BaLi2PaTe4
_chemical_formula_sum 'Ba2 Li4 Pa2 Te8'
_cell_length_a 14.695
_cell_length_b 6.434
_cell_length_c 6.434
_cell_angle_alpha 90.00
_cell_angle_beta 115.89
_cell_angle_gamma 90.00
_space_group_name_H-M_alt 'C 1 m 1'
_space_group_IT_number 8
loop_
_space_group_symop_operation_xyz
'x,y,z'
'x,-y,z'
'x+1/2,y+1/2,z'
'x+1/2,-y+1/2,z'
loop_
_atom_site_label
_atom_site_type_symbol
_atom_site_fract_x
_atom_site_fract_y
_atom_site_fract_z
Ba1 Ba 0.000 0.000 0.000
Li1 Li 0.000 0.500 0.500
Li2 Li 0.250 0.000 0.750
Pa1 Pa 0.250 0.500 0.250
Te1 Te 0.022 0.500 0.022
Te2 Te 0.236 0.500 0.736
Te3 Te 0.264 0.000 0.264
Te4 Te 0.478 0.500 0.478
```


# 5
Compound: Ba2LiPaTe5
Source: Alexandria
Functional: PBE
Structure: optimized geometry

Output
- size of the total moment (μB/f.u.) = 0.00
- formation energy (no corrections) (meV/atom) = -1262
- final energy (eV per atom) = -4.70

The structure in CIF format:
```
data_Ba2LiPaTe5
_chemical_formula_sum 'Ba8 Li4 Pa4 Te20'
_cell_length_a 4.681
_cell_length_b 19.982
_cell_length_c 14.174
_cell_angle_alpha 90.00
_cell_angle_beta 90.00
_cell_angle_gamma 90.00
_space_group_name_H-M_alt 'C m c 21'
_space_group_IT_number 36
loop_
_space_group_symop_operation_xyz
'x,y,z'
'-x,-y,z+1/2'
'-x,y,z'
'x,-y,z+1/2'
'x+1/2,y+1/2,z'
'-x+1/2,-y+1/2,z+1/2'
'-x+1/2,y+1/2,z'
'x+1/2,-y+1/2,z+1/2'
loop_
_atom_site_label
_atom_site_type_symbol
_atom_site_fract_x
_atom_site_fract_y
_atom_site_fract_z
Ba1 Ba 0.000 0.104 0.000
Ba2 Ba 0.000 0.121 0.627
Li1 Li 0.000 0.437 0.759
Pa1 Pa 0.000 0.206 0.331
Te1 Te 0.000 0.062 0.365
Te2 Te 0.000 0.285 0.972
Te3 Te 0.000 0.302 0.689
Te4 Te 0.000 0.355 0.318
Te5 Te 0.000 0.499 0.091
```


# 6
Compound: BaLiPb2
Source: Alexandria
Functional: PBE
Structure: optimized geometry

Output
- size of the total moment (μB/f.u.) = 0.00
- final energy (eV per atom) = -3.17
- DFT formation energy (eV/atom) = -0.360

The structure in CIF format:
```
data_BaLiPb2
_chemical_formula_sum 'Ba2 Li2 Pb4'
_cell_length_a 4.648
_cell_length_b 4.863
_cell_length_c 12.243
_cell_angle_alpha 90.00
_cell_angle_beta 90.00
_cell_angle_gamma 90.00
_space_group_name_H-M_alt 'I m m 2'
_space_group_IT_number 44
loop_
_space_group_symop_operation_xyz
'x,y,z'
'-x,-y,z'
'-x,y,z'
'x,-y,z'
'x+1/2,y+1/2,z+1/2'
'-x+1/2,-y+1/2,z+1/2'
'-x+1/2,y+1/2,z+1/2'
'x+1/2,-y+1/2,z+1/2'
loop_
_atom_site_label
_atom_site_type_symbol
_atom_site_fract_x
_atom_site_fract_y
_atom_site_fract_z
Ba1 Ba 0.000 0.000 0.000
Li1 Li 0.000 0.500 0.738
Pb1 Pb 0.000 0.000 0.604
Pb2 Pb 0.000 0.500 0.272
```


# 7
Compound: BaLi2Pb
Source: Alexandria
Functional: PBE
Structure: optimized geometry

Output
- size of the total moment (μB/f.u.) = 0.00
- final energy (eV per atom) = -2.40
- DFT formation energy (eV/atom) = -0.037

The structure in CIF format:
```
data_BaLi2Pb
_chemical_formula_sum 'Ba2 Li4 Pb2'
_cell_length_a 3.856
_cell_length_b 5.900
_cell_length_c 13.264
_cell_angle_alpha 90.00
_cell_angle_beta 90.00
_cell_angle_gamma 90.00
_space_group_name_H-M_alt 'I m m m'
_space_group_IT_number 71
_space_group_name_Hall '-I 2 2'
loop_
_atom_site_label
_atom_site_type_symbol
_atom_site_fract_x
_atom_site_fract_y
_atom_site_fract_z
Ba1 Ba 0.000 0.000 0.000
Li1 Li 0.000 0.000 0.291
Pb1 Pb 0.000 0.000 0.500
```


# 8
Compound: BaLiPb
Source: Alexandria
Functional: PBE
Structure: optimized geometry

Output
- size of the total moment (μB/f.u.) = 0.00
- final energy (eV per atom) = -2.76
- DFT formation energy (eV/atom) = -0.249

The structure in CIF format:
```
data_BaLiPb
_chemical_formula_sum 'Ba4 Li4 Pb4'
_cell_length_a 7.464
_cell_length_b 7.464
_cell_length_c 7.464
_cell_angle_alpha 90.00
_cell_angle_beta 90.00
_cell_angle_gamma 90.00
_space_group_name_H-M_alt 'F -4 3 m'
_space_group_IT_number 216
_space_group_name_Hall 'F -4 2 3'
loop_
_atom_site_label
_atom_site_type_symbol
_atom_site_fract_x
_atom_site_fract_y
_atom_site_fract_z
Ba1 Ba 0.000 0.000 0.000
Li1 Li 0.250 0.250 0.750
Pb1 Pb 0.000 0.000 0.500
```